## Rb2VFeF6 (PBE with a Hubbard U)

Data for a relaxed structure of Rb2VFeF6.

Cell: 6.018 6.018 6.018 Å, 120.32 120.32 89.44°
Fractional coordinates of all 10 atoms:
Rb1 0.250 0.750 0.500
Rb2 0.750 0.250 0.500
V1 0.000 0.000 0.000
Fe1 0.500 0.500 0.000
F1 0.249 0.249 0.000
F2 0.252 0.252 0.503
F3 0.252 0.748 0.000
F4 0.748 0.252 0.000
F5 0.748 0.748 0.497
F6 0.751 0.751 0.000

## Properties
Volume   153 Å³ per cell
Total DFT energy (no corrections)   -52.1 eV/cell